Sc2PaTl3Te6 | PBE-GGA | optimized geometry

a = 7.426 Å, b = 7.426 Å, c = 8.656 Å
α = 98.24°, β = 98.24°, γ = 119.96°
Element x y z (fractional)
Tl (0.500, 0.500, 0.500)
Tl (0.163, 0.837, 0.500)
Tl (0.837, 0.163, 0.500)
Te (0.413, 0.070, 0.209)
Te (0.275, 0.275, 0.794)
Te (0.725, 0.725, 0.206)
Te (0.930, 0.587, 0.791)
Te (0.587, 0.930, 0.791)
Te (0.070, 0.413, 0.209)
Sc (0.667, 0.333, 0.000)
Sc (0.333, 0.667, 0.000)
Pa (0.000, 0.000, 0.000)

## Properties
The calculation puts the uncorrected formation energy at -803 meV per atom. Its crystal system is monoclinic.



PuZr5N5 | PBE-GGA | optimized geometry

a = 4.659 Å, b = 5.729 Å, c = 6.589 Å
α = 106.79°, β = 90.00°, γ = 113.99°
Element x y z (fractional)
Zr (0.675, 0.350, 0.333)
Zr (0.671, 0.343, 0.841)
Zr (0.000, 0.000, 0.500)
Zr (0.329, 0.657, 0.159)
Zr (0.325, 0.650, 0.667)
N (0.832, 0.663, 0.662)
N (0.831, 0.662, 0.170)
N (0.500, 0.000, 0.000)
N (0.169, 0.338, 0.830)
N (0.168, 0.337, 0.338)
Pu (0.000, 0.000, 0.000)

## Properties
The calculation puts the uncorrected formation energy at -1506 meV per atom. Its crystal system is monoclinic.



NpGa4PdAu2 | PBE-GGA | optimized geometry

a = 4.401 Å, b = 4.401 Å, c = 9.138 Å
α = 76.07°, β = 76.07°, γ = 60.00°
Element x y z (fractional)
Ga (0.396, 0.396, 0.813)
Ga (0.870, 0.870, 0.391)
Ga (0.604, 0.604, 0.187)
Ga (0.130, 0.130, 0.609)
Au (0.246, 0.246, 0.262)
Au (0.754, 0.754, 0.738)
Pd (0.500, 0.500, 0.500)
Np (0.000, 0.000, 0.000)

## Properties
Its crystal system is trigonal. As for the calculated formation energy: -5.8 kcal/mol of atoms.



In μB per formula unit, the total moment values for the records above are, in order, 2.0, 4.0, 4.3.